{"formula": "CaMn3P3O13", "functional": "PBE with a Hubbard U", "state": "optimized geometry", "cell": [[7.559, 0.000, 0.000], [0.000, 6.294, 0.000], [-1.565, 0.000, 10.259]], "species": ["Ca", "Ca", "Mn", "Mn", "Mn", "Mn", "Mn", "Mn", "P", "P", "P", "P", "P", "P", "O", "O", "O", "O", "O", "O", "O", "O", "O", "O", "O", "O", "O", "O", "O", "O", "O", "O", "O", "O", "O", "O", "O", "O", "O", "O"], "frac_coords": [[0.154, 0.250, 0.192], [0.846, 0.750, 0.808], [0.172, 0.250, 0.777], [0.270, 0.750, 0.424], [0.500, 0.000, 0.000], [0.500, 0.500, 0.000], [0.730, 0.250, 0.576], [0.828, 0.750, 0.223], [0.178, 0.750, 0.105], [0.260, 0.750, 0.750], [0.279, 0.250, 0.505], [0.721, 0.750, 0.495], [0.740, 0.250, 0.250], [0.822, 0.250, 0.895], [0.004, 0.250, 0.979], [0.120, 0.250, 0.585], [0.133, 0.750, 0.248], [0.139, 0.558, 0.776], [0.139, 0.942, 0.776], [0.254, 0.060, 0.406], [0.254, 0.440, 0.406], [0.289, 0.546, 0.091], [0.289, 0.954, 0.091], [0.311, 0.750, 0.613], [0.386, 0.250, 0.909], [0.431, 0.750, 0.851], [0.456, 0.250, 0.596], [0.544, 0.750, 0.404], [0.569, 0.250, 0.149], [0.614, 0.750, 0.091], [0.689, 0.250, 0.387], [0.711, 0.046, 0.909], [0.711, 0.454, 0.909], [0.746, 0.560, 0.594], [0.746, 0.940, 0.594], [0.861, 0.058, 0.224], [0.861, 0.442, 0.224], [0.867, 0.250, 0.752], [0.880, 0.750, 0.415], [0.996, 0.750, 0.021]], "e_tot_ev_per_atom": -7.4078, "magnetic_moment_mub_per_fu": 12.00}